# 1
VASP calculation (PBE) on crystalline CsGeTe4Pb2 at its relaxed geometry.

```
data_CsGeTe4Pb2
_chemical_formula_sum 'Cs4 Ge4 Te16 Pb8'
_cell_length_a 9.233
_cell_length_b 9.560
_cell_length_c 13.238
_cell_angle_alpha 90.00
_cell_angle_beta 90.00
_cell_angle_gamma 90.00
_symmetry_space_group_name_H-M 'I m m a'
_symmetry_Int_Tables_number 74
_symmetry_space_group_name_Hall '-I 2b 2'
loop_
_atom_site_label
_atom_site_type_symbol
_atom_site_fract_x
_atom_site_fract_y
_atom_site_fract_z
Cs1 Cs 0.250 0.250 0.250
Ge1 Ge 0.000 0.000 0.000
Te1 Te 0.000 0.031 0.758
Te2 Te 0.234 0.250 0.985
Pb1 Pb 0.000 0.000 0.500
Pb2 Pb 0.250 0.250 0.750
```

total DFT energy (no corrections): -3.443 eV/atom
uncorrected formation energy: -0.26 eV per atom
M_tot: 0.0 μB/cell
DOS at the Fermi energy: 20.324 states/eV/cell
density: 6.4 g/cm³
calculated volume: 1168.5 Å³ per cell

# 2
VASP calculation (PBE) on crystalline La2YMgMn at its relaxed geometry.

```
data_La2YMgMn
_chemical_formula_sum 'La2 Y1 Mg1 Mn1'
_cell_length_a 5.203
_cell_length_b 5.203
_cell_length_c 5.508
_cell_angle_alpha 90.00
_cell_angle_beta 90.00
_cell_angle_gamma 90.00
_symmetry_space_group_name_H-M 'P 4/m m m'
_symmetry_Int_Tables_number 123
_symmetry_space_group_name_Hall '-P 4 2'
loop_
_atom_site_label
_atom_site_type_symbol
_atom_site_fract_x
_atom_site_fract_y
_atom_site_fract_z
La1 La 0.000 0.500 0.000
Y1 Y 0.000 0.000 0.500
Mg1 Mg 0.500 0.500 0.500
Mn1 Mn 0.000 0.000 0.000
```

total DFT energy (no corrections): -5.293 eV/atom
M_tot: 0.0 μB/cell
DOS at the Fermi energy: 5.207 states/eV/cell
density: 5.0 g/cm³
calculated volume: 149.1 Å³ per cell

# 3
VASP calculation (PBE) on crystalline Si3W at its relaxed geometry.

```
data_Si3W
_chemical_formula_sum 'Si6 W2'
_cell_length_a 3.364
_cell_length_b 4.603
_cell_length_c 7.607
_cell_angle_alpha 90.00
_cell_angle_beta 90.00
_cell_angle_gamma 90.00
_symmetry_space_group_name_H-M 'C m m m'
_symmetry_Int_Tables_number 65
_symmetry_space_group_name_Hall '-C 2 2'
loop_
_atom_site_label
_atom_site_type_symbol
_atom_site_fract_x
_atom_site_fract_y
_atom_site_fract_z
Si1 Si 0.000 0.000 0.000
Si2 Si 0.000 0.500 0.250
W1 W 0.000 0.000 0.500
```

total DFT energy (no corrections): -6.955 eV/atom
uncorrected formation energy: 0.35 eV per atom
M_tot: 0.0 μB/cell
E above lowest polymorph: 137 kJ/mol of formula units
DOS at the Fermi energy: 2.964 states/eV/cell
density: 7.6 g/cm³
calculated volume: 117.8 Å³ per cell

# 4
VASP calculation (PBE) on crystalline SrMoW3 at its relaxed geometry.

```
data_SrMoW3
_chemical_formula_sum 'Sr1 Mo1 W3'
_cell_length_a 4.679
_cell_length_b 4.679
_cell_length_c 4.679
_cell_angle_alpha 90.00
_cell_angle_beta 90.00
_cell_angle_gamma 90.00
_symmetry_space_group_name_H-M 'P m -3 m'
_symmetry_Int_Tables_number 221
_symmetry_space_group_name_Hall '-P 4 2 3'
loop_
_atom_site_label
_atom_site_type_symbol
_atom_site_fract_x
_atom_site_fract_y
_atom_site_fract_z
Sr1 Sr 0.000 0.000 0.000
Mo1 Mo 0.500 0.500 0.500
W1 W 0.000 0.000 0.500
```

total DFT energy (no corrections): -6.539 eV/atom
M_tot: 0.0 μB/cell
E above lowest polymorph: 959 kJ/mol of formula units
DOS at the Fermi energy: 8.318 states/eV/cell
density: 11.9 g/cm³
calculated volume: 102.4 Å³ per cell